This record from Alexandria describes a geometry-optimized CeSm4Bi2 structure. The functional is PBE-GGA.

Geometry as CIF:
```
data_CeSm4Bi2
_space_group_name_H-M_alt 'I 4/m m m'
_space_group_IT_number 139
_space_group_name_Hall '-I 4 2'
_cell_length_a 5.284
_cell_length_b 5.284
_cell_length_c 16.807
_cell_angle_alpha 90.00
_cell_angle_beta 90.00
_cell_angle_gamma 90.00
loop_
_atom_site_label
_atom_site_fract_x
_atom_site_fract_y
_atom_site_fract_z
_atom_site_occupancy
Ce1 0.000 0.000 0.000 1
Sm1 0.000 0.000 0.177 1
Sm2 0.000 0.500 0.000 1
Bi1 0.000 0.000 0.364 1
```

Output
As for the magnetic moment: 0.000 μB per cell. The density is 8.21 Mg/m³. The total DFT energy (no corrections) is -4.557 eV/atom.